[1]
Material: InHCO2
Method: DFT, PBE
State: optimized geometry

```
data_InHCO2
_symmetry_space_group_name_H-M 'P 4/m m m'
_symmetry_Int_Tables_number 123
_symmetry_space_group_name_Hall '-P 4 2'
_cell_length_a 3.199
_cell_length_b 3.199
_cell_length_c 5.334
_cell_angle_alpha 90.00
_cell_angle_beta 90.00
_cell_angle_gamma 90.00
loop_
_atom_site_label
_atom_site_fract_x
_atom_site_fract_y
_atom_site_fract_z
In1 0.000 0.000 0.000
H1 0.500 0.500 0.000
C1 0.000 0.000 0.500
O1 0.000 0.500 0.500
```

- total energy (eV per atom) = -4.1902

---

[2]
Material: SrNiSe2
Method: DFT, PBE
State: optimized geometry

```
data_SrNiSe2
_symmetry_space_group_name_H-M 'I -4 m 2'
_symmetry_Int_Tables_number 119
_symmetry_space_group_name_Hall 'I -4 -2'
_cell_length_a 4.110
_cell_length_b 4.110
_cell_length_c 10.581
_cell_angle_alpha 90.00
_cell_angle_beta 90.00
_cell_angle_gamma 90.00
loop_
_atom_site_label
_atom_site_fract_x
_atom_site_fract_y
_atom_site_fract_z
Sr1 0.000 0.000 0.000
Ni1 0.000 0.500 0.750
Se1 0.000 0.000 0.500
Se2 0.000 0.500 0.250
```

- formation energy from raw total energies (eV per atom) = -0.39
- polymorph energy (0 for the lowest one) (meV/atom) = 611
- total energy (eV per atom) = -3.9995

---

[3]
Material: La2Ho5TmTh
Method: DFT, PBE
State: optimized geometry

```
data_La2Ho5TmTh
_symmetry_space_group_name_H-M 'C m c 21'
_symmetry_Int_Tables_number 36
_cell_length_a 5.612
_cell_length_b 19.680
_cell_length_c 10.914
_cell_angle_alpha 90.00
_cell_angle_beta 90.00
_cell_angle_gamma 90.00
loop_
_symmetry_equiv_pos_as_xyz
'x,y,z'
'-x,-y,z+1/2'
'-x,y,z'
'x,-y,z+1/2'
'x+1/2,y+1/2,z'
'-x+1/2,-y+1/2,z+1/2'
'-x+1/2,y+1/2,z'
'x+1/2,-y+1/2,z+1/2'
loop_
_atom_site_label
_atom_site_fract_x
_atom_site_fract_y
_atom_site_fract_z
La1 0.000 0.115 0.000
La2 0.000 0.116 0.420
Ho1 0.000 0.014 0.712
Ho2 0.000 0.281 0.997
Ho3 0.000 0.299 0.394
Ho4 0.000 0.389 0.705
Ho5 0.000 0.482 0.423
Tm1 0.000 0.201 0.695
Th1 0.000 0.417 0.148
```

- formation energy from the elements (kJ/mol of formula units) = 144
- total energy (eV per atom) = -4.7932

---

[4]
Material: Sc2GePd4Au2
Method: DFT, PBE
State: optimized geometry

```
data_Sc2GePd4Au2
_symmetry_space_group_name_H-M 'I 4/m m m'
_symmetry_Int_Tables_number 139
_symmetry_space_group_name_Hall '-I 4 2'
_cell_length_a 6.081
_cell_length_b 6.081
_cell_length_c 9.039
_cell_angle_alpha 90.00
_cell_angle_beta 90.00
_cell_angle_gamma 90.00
loop_
_atom_site_label
_atom_site_fract_x
_atom_site_fract_y
_atom_site_fract_z
Sc1 0.000 0.000 0.209
Ge1 0.000 0.000 0.500
Pd1 0.224 0.224 0.000
Au1 0.000 0.500 0.250
```

- formation energy from the elements (kJ/mol of formula units) = -341
- total energy (eV per atom) = -5.3487

---

[5]
Material: K2CdReO6
Method: DFT, PBE
State: optimized geometry

```
data_K2CdReO6
_symmetry_space_group_name_H-M 'C 1 2 1'
_symmetry_Int_Tables_number 5
_cell_length_a 10.222
_cell_length_b 6.007
_cell_length_c 5.925
_cell_angle_alpha 90.00
_cell_angle_beta 125.42
_cell_angle_gamma 90.00
loop_
_symmetry_equiv_pos_as_xyz
'x,y,z'
'-x,y,-z'
'x+1/2,y+1/2,z'
'-x+1/2,y+1/2,-z'
loop_
_atom_site_label
_atom_site_fract_x
_atom_site_fract_y
_atom_site_fract_z
K1 0.250 0.000 0.250
Cd1 0.000 0.498 0.000
Re1 0.000 0.011 0.500
O1 0.000 0.202 0.260
O2 0.000 0.744 0.300
O3 0.225 0.999 0.726
```

- formation energy from raw total energies (eV per atom) = -1.44
- total energy (eV per atom) = -5.9718

---

[6]
Material: Sr2SnSbRh
Method: DFT, PBE
State: optimized geometry

```
data_Sr2SnSbRh
_symmetry_space_group_name_H-M 'P 4/m m m'
_symmetry_Int_Tables_number 123
_symmetry_space_group_name_Hall '-P 4 2'
_cell_length_a 6.155
_cell_length_b 6.155
_cell_length_c 4.887
_cell_angle_alpha 90.00
_cell_angle_beta 90.00
_cell_angle_gamma 90.00
loop_
_atom_site_label
_atom_site_fract_x
_atom_site_fract_y
_atom_site_fract_z
Sr1 0.000 0.500 0.000
Sn1 0.000 0.000 0.500
Sb1 0.500 0.500 0.000
Rh1 0.500 0.500 0.500
```

- formation energy from raw total energies (eV per atom) = -0.07
- total energy (eV per atom) = -3.8369

---

[7]
Material: KTcO3
Method: DFT, PBE
State: optimized geometry

```
data_KTcO3
_symmetry_space_group_name_H-M 'P 1 21/m 1'
_symmetry_Int_Tables_number 11
_cell_length_a 6.075
_cell_length_b 5.489
_cell_length_c 7.168
_cell_angle_alpha 90.00
_cell_angle_beta 112.56
_cell_angle_gamma 90.00
loop_
_symmetry_equiv_pos_as_xyz
'x,y,z'
'-x,-y,-z'
'-x,y+1/2,-z'
'x,-y+1/2,z'
loop_
_atom_site_label
_atom_site_fract_x
_atom_site_fract_y
_atom_site_fract_z
K1 0.092 0.250 0.226
Tc1 0.435 0.250 0.888
O1 0.281 0.250 0.629
O2 0.313 0.501 0.019
```

- formation energy from raw total energies (eV per atom) = -1.60
- total energy (eV per atom) = -6.8686

---

[8]
Material: Tb2PrNd6Er
Method: DFT, PBE
State: optimized geometry

```
data_Tb2PrNd6Er
_symmetry_space_group_name_H-M 'C 1 2/c 1'
_symmetry_Int_Tables_number 15
_cell_length_a 9.324
_cell_length_b 15.366
_cell_length_c 9.719
_cell_angle_alpha 90.00
_cell_angle_beta 97.12
_cell_angle_gamma 90.00
loop_
_symmetry_equiv_pos_as_xyz
'x,y,z'
'-x,-y,-z'
'-x,y,-z+1/2'
'x,-y,z+1/2'
'x+1/2,y+1/2,z'
'-x+1/2,-y+1/2,-z'
'-x+1/2,y+1/2,-z+1/2'
'x+1/2,-y+1/2,z+1/2'
loop_
_atom_site_label
_atom_site_fract_x
_atom_site_fract_y
_atom_site_fract_z
Tb1 0.248 0.049 0.453
Pr1 0.000 0.474 0.250
Nd1 0.062 0.320 0.945
Nd2 0.098 0.109 0.118
Nd3 0.213 0.277 0.313
Er1 0.000 0.089 0.750
```

- formation energy from the elements (kJ/mol of formula units) = 109
- total energy (eV per atom) = -4.6079

---

[9]
Material: SrGePS2
Method: DFT, PBE
State: optimized geometry

```
data_SrGePS2
_symmetry_space_group_name_H-M 'P 4/m m m'
_symmetry_Int_Tables_number 123
_symmetry_space_group_name_Hall '-P 4 2'
_cell_length_a 4.942
_cell_length_b 4.942
_cell_length_c 4.660
_cell_angle_alpha 90.00
_cell_angle_beta 90.00
_cell_angle_gamma 90.00
loop_
_atom_site_label
_atom_site_fract_x
_atom_site_fract_y
_atom_site_fract_z
Sr1 0.000 0.000 0.000
Ge1 0.500 0.500 0.500
P1 0.500 0.500 0.000
S1 0.000 0.500 0.500
```

- formation energy from raw total energies (eV per atom) = -0.41
- polymorph energy (0 for the lowest one) (meV/atom) = 0
- total energy (eV per atom) = -4.3987

---

[10]
Material: MnAl4Os
Method: DFT, PBE
State: optimized geometry

```
data_MnAl4Os
_symmetry_space_group_name_H-M 'F -4 3 m'
_symmetry_Int_Tables_number 216
_symmetry_space_group_name_Hall 'F -4 2 3'
_cell_length_a 7.058
_cell_length_b 7.058
_cell_length_c 7.058
_cell_angle_alpha 90.00
_cell_angle_beta 90.00
_cell_angle_gamma 90.00
loop_
_atom_site_label
_atom_site_fract_x
_atom_site_fract_y
_atom_site_fract_z
Mn1 0.000 0.000 0.000
Al1 0.125 0.125 0.625
Os1 0.250 0.250 0.250
```

- formation energy from the elements (kJ/mol of formula units) = 87
- total energy (eV per atom) = -5.7449

---

[11]
Material: RbTa2ZnGa
Method: DFT, PBE
State: optimized geometry

```
data_RbTa2ZnGa
_symmetry_space_group_name_H-M 'P 4/m m m'
_symmetry_Int_Tables_number 123
_symmetry_space_group_name_Hall '-P 4 2'
_cell_length_a 4.939
_cell_length_b 4.939
_cell_length_c 6.074
_cell_angle_alpha 90.00
_cell_angle_beta 90.00
_cell_angle_gamma 90.00
loop_
_atom_site_label
_atom_site_fract_x
_atom_site_fract_y
_atom_site_fract_z
Rb1 0.000 0.000 0.000
Ta1 0.000 0.500 0.500
Zn1 0.500 0.500 0.000
Ga1 0.000 0.000 0.500
```

- formation energy from the elements (kJ/mol of formula units) = 785
- total energy (eV per atom) = -4.1668

---

[12]
Material: BaIn2Cl8
Method: DFT, PBE
State: optimized geometry

```
data_BaIn2Cl8
_symmetry_space_group_name_H-M 'C 1 2/m 1'
_symmetry_Int_Tables_number 12
_cell_length_a 13.901
_cell_length_b 7.511
_cell_length_c 7.688
_cell_angle_alpha 90.00
_cell_angle_beta 106.78
_cell_angle_gamma 90.00
loop_
_symmetry_equiv_pos_as_xyz
'x,y,z'
'-x,-y,-z'
'-x,y,-z'
'x,-y,z'
'x+1/2,y+1/2,z'
'-x+1/2,-y+1/2,-z'
'-x+1/2,y+1/2,-z'
'x+1/2,-y+1/2,z'
loop_
_atom_site_label
_atom_site_fract_x
_atom_site_fract_y
_atom_site_fract_z
Ba1 0.000 0.000 0.000
In1 0.209 0.000 0.693
Cl1 0.114 0.500 0.194
Cl2 0.122 0.240 0.791
Cl3 0.175 0.000 0.366
```

- formation energy from raw total energies (eV per atom) = -1.44
- total energy (eV per atom) = -3.4573

---

[13]
Material: KTl3Rh
Method: DFT, PBE
State: optimized geometry

```
data_KTl3Rh
_symmetry_space_group_name_H-M 'P m -3 m'
_symmetry_Int_Tables_number 221
_symmetry_space_group_name_Hall '-P 4 2 3'
_cell_length_a 5.884
_cell_length_b 5.884
_cell_length_c 5.884
_cell_angle_alpha 90.00
_cell_angle_beta 90.00
_cell_angle_gamma 90.00
loop_
_atom_site_label
_atom_site_fract_x
_atom_site_fract_y
_atom_site_fract_z
K1 0.000 0.000 0.000
Tl1 0.000 0.000 0.500
Rh1 0.500 0.500 0.500
```

- formation energy from the elements (kJ/mol of formula units) = 649
- polymorph energy (0 for the lowest one) (meV/atom) = 1414
- total energy (eV per atom) = -1.7638

---

[14]
Material: CaCrPS2
Method: DFT, PBE
State: optimized geometry

```
data_CaCrPS2
_symmetry_space_group_name_H-M 'P 4/m m m'
_symmetry_Int_Tables_number 123
_symmetry_space_group_name_Hall '-P 4 2'
_cell_length_a 5.078
_cell_length_b 5.078
_cell_length_c 5.110
_cell_angle_alpha 90.00
_cell_angle_beta 90.00
_cell_angle_gamma 90.00
loop_
_atom_site_label
_atom_site_fract_x
_atom_site_fract_y
_atom_site_fract_z
Ca1 0.000 0.000 0.000
Cr1 0.500 0.500 0.500
P1 0.000 0.000 0.500
S1 0.000 0.500 0.000
```

- formation energy from raw total energies (eV per atom) = 1.21
- polymorph energy (0 for the lowest one) (meV/atom) = 1769
- total energy (eV per atom) = -3.8491

---

[15]
Material: RbLiAlSb2
Method: DFT, PBE
State: optimized geometry

```
data_RbLiAlSb2
_symmetry_space_group_name_H-M 'I -4 m 2'
_symmetry_Int_Tables_number 119
_symmetry_space_group_name_Hall 'I -4 -2'
_cell_length_a 4.282
_cell_length_b 4.282
_cell_length_c 16.618
_cell_angle_alpha 90.00
_cell_angle_beta 90.00
_cell_angle_gamma 90.00
loop_
_atom_site_label
_atom_site_fract_x
_atom_site_fract_y
_atom_site_fract_z
Rb1 0.000 0.000 0.000
Li1 0.000 0.500 0.750
Al1 0.000 0.500 0.250
Sb1 0.000 0.000 0.355
```

- formation energy from raw total energies (eV per atom) = -0.38
- total energy (eV per atom) = -3.3569

---

[16]
Material: BaBi4Pd4
Method: DFT, PBE
State: optimized geometry

```
data_BaBi4Pd4
_symmetry_space_group_name_H-M 'P 42/n'
_symmetry_Int_Tables_number 86
_cell_length_a 9.466
_cell_length_b 9.466
_cell_length_c 5.503
_cell_angle_alpha 90.00
_cell_angle_beta 90.00
_cell_angle_gamma 90.00
loop_
_symmetry_equiv_pos_as_xyz
'x,y,z'
'-x,-y,-z'
'-y,x+1/2,z+1/2'
'y,-x+1/2,-z+1/2'
'-x+1/2,-y+1/2,z'
'x+1/2,y+1/2,-z'
'y+1/2,-x,z+1/2'
'-y+1/2,x,-z+1/2'
loop_
_atom_site_label
_atom_site_fract_x
_atom_site_fract_y
_atom_site_fract_z
Ba1 0.250 0.250 0.250
Bi1 0.111 0.879 0.656
Pd1 0.044 0.890 0.155
```

- formation energy from the elements (kJ/mol of formula units) = -325
- total energy (eV per atom) = -4.6207

---

[17]
Material: Cu2TcMo
Method: DFT, PBE
State: optimized geometry

```
data_Cu2TcMo
_symmetry_space_group_name_H-M 'F -4 3 m'
_symmetry_Int_Tables_number 216
_symmetry_space_group_name_Hall 'F -4 2 3'
_cell_length_a 6.065
_cell_length_b 6.065
_cell_length_c 6.065
_cell_angle_alpha 90.00
_cell_angle_beta 90.00
_cell_angle_gamma 90.00
loop_
_atom_site_label
_atom_site_fract_x
_atom_site_fract_y
_atom_site_fract_z
Cu1 0.000 0.000 0.000
Cu2 0.250 0.250 0.250
Tc1 0.250 0.250 0.750
Mo1 0.000 0.000 0.500
```

- formation energy from the elements (kJ/mol of formula units) = 125
- polymorph energy (0 for the lowest one) (meV/atom) = 159
- total energy (eV per atom) = -7.0231

---

[18]
Material: AcTmGa2Pt5
Method: DFT, PBE
State: optimized geometry

```
data_AcTmGa2Pt5
_symmetry_space_group_name_H-M 'P 4/m m m'
_symmetry_Int_Tables_number 123
_symmetry_space_group_name_Hall '-P 4 2'
_cell_length_a 4.338
_cell_length_b 4.338
_cell_length_c 9.277
_cell_angle_alpha 90.00
_cell_angle_beta 90.00
_cell_angle_gamma 90.00
loop_
_atom_site_label
_atom_site_fract_x
_atom_site_fract_y
_atom_site_fract_z
Ac1 0.000 0.000 0.000
Tm1 0.000 0.000 0.500
Ga1 0.500 0.500 0.370
Pt1 0.000 0.500 0.242
Pt2 0.500 0.500 0.000
```

- formation energy from the elements (kJ/mol of formula units) = -716
- total energy (eV per atom) = -5.8066

---

[19]
Material: Fe2Ge2Rh
Method: DFT, PBE
State: optimized geometry

```
data_Fe2Ge2Rh
_symmetry_space_group_name_H-M 'P 4/m b m'
_symmetry_Int_Tables_number 127
_symmetry_space_group_name_Hall '-P 4 2ab'
_cell_length_a 6.809
_cell_length_b 6.809
_cell_length_c 2.903
_cell_angle_alpha 90.00
_cell_angle_beta 90.00
_cell_angle_gamma 90.00
loop_
_atom_site_label
_atom_site_fract_x
_atom_site_fract_y
_atom_site_fract_z
Fe1 0.133 0.367 0.000
Ge1 0.162 0.662 0.500
Rh1 0.000 0.000 0.500
```

- formation energy from the elements (kJ/mol of formula units) = -33
- polymorph energy (0 for the lowest one) (meV/atom) = 0
- total energy (eV per atom) = -6.7703

---

[20]
Material: AcPrTe2Br
Method: DFT, PBE
State: optimized geometry

```
data_AcPrTe2Br
_symmetry_space_group_name_H-M 'P 4/n m m'
_symmetry_Int_Tables_number 129
_cell_length_a 4.639
_cell_length_b 4.639
_cell_length_c 15.527
_cell_angle_alpha 90.00
_cell_angle_beta 90.00
_cell_angle_gamma 90.00
loop_
_symmetry_equiv_pos_as_xyz
'x,y,z'
'-x,-y,-z'
'-y+1/2,x,z'
'y+1/2,-x,-z'
'-x+1/2,-y+1/2,z'
'x+1/2,y+1/2,-z'
'y,-x+1/2,z'
'-y,x+1/2,-z'
'x+1/2,-y,-z'
'-x+1/2,y,z'
'-y,-x,-z'
'y,x,z'
'-x,y+1/2,-z'
'x,-y+1/2,z'
'y+1/2,x+1/2,-z'
'-y+1/2,-x+1/2,z'
loop_
_atom_site_label
_atom_site_fract_x
_atom_site_fract_y
_atom_site_fract_z
Ac1 0.250 0.250 0.092
Pr1 0.250 0.250 0.639
Te1 0.250 0.250 0.306
Te2 0.250 0.250 0.869
Br1 0.250 0.750 0.500
```

- formation energy from raw total energies (eV per atom) = -1.52
- total energy (eV per atom) = -4.8868

---

Number 1: total magnetic moment 0.04 μB per cell. Number 2: total magnetic moment 0.00 μB per cell. Number 3: total magnetic moment 0.00 μB per cell. Number 4: total magnetic moment 0.00 μB per cell. Number 5: total magnetic moment 2.08 μB per cell. Number 6: total magnetic moment 0.00 μB per cell. Number 7: total magnetic moment 0.00 μB per cell. Number 8: total magnetic moment 0.00 μB per cell. Number 9: total magnetic moment 0.00 μB per cell. Number 10: total magnetic moment 15.47 μB per cell. Number 11: total magnetic moment 3.23 μB per cell. Number 12: total magnetic moment 0.00 μB per cell. Number 13: total magnetic moment 0.62 μB per cell. Number 14: total magnetic moment 0.32 μB per cell. Number 15: total magnetic moment 0.00 μB per cell. Number 16: total magnetic moment 0.00 μB per cell. Number 17: total magnetic moment 0.00 μB per cell. Number 18: total magnetic moment 0.00 μB per cell. Number 19: total magnetic moment 7.93 μB per cell. Number 20: total magnetic moment 0.00 μB per cell.